Entry from Alexandria: crystalline AgGeAu4 at its relaxed geometry (PBE).

## Properties
The value obtained for the energy relative to the elements is 1.6 kJ/mol of atoms. For the offset from the most stable computed form, the calculation gives 0.0 kJ per mole of atoms. The calculated volume comes out at 18.207 A^3/atom. The uncorrected energy comes out at -3.413 eV/atom.

Structure (CIF):
```
data_AgGeAu4
_cell_length_a 2.9550
_cell_length_b 4.8747
_cell_length_c 7.7201
_cell_angle_alpha 90.00
_cell_angle_beta 100.79
_cell_angle_gamma 90.00
_space_group_name_H-M_alt 'P 1 m 1'
_space_group_IT_number 6
loop_
_space_group_symop_operation_xyz
'x,y,z'
'x,-y,z'
loop_
_atom_site_label
_atom_site_type_symbol
_atom_site_fract_x
_atom_site_fract_y
_atom_site_fract_z
Ag1 Ag 0.0000 0.0000 0.0000
Ge1 Ge 0.7900 0.5000 0.5645
Au1 Au 0.1157 0.5000 0.2251
Au2 Au 0.3327 0.0000 0.6651
Au3 Au 0.4466 0.5000 0.8894
Au4 Au 0.6685 0.0000 0.3318
```